[1]
Density functional theory data (PBE) for crystalline Dy3YPd at its relaxed geometry.

The value obtained for the mass density is 7.75 g/cm3. The energy of formation comes out at -245.4 meV/atom.

It has space group Imma (No. 74), with a = 4.9263 Å, b = 4.9684 Å, c = 23.9200 Å, α = 90.00°, β = 90.00° and γ = 90.00°. The inequivalent atoms are Dy at (0.0000, 0.2500, 0.0531), Dy at (0.0000, 0.2500, 0.5541), Dy at (0.0000, 0.2500, 0.6961), Y at (0.0000, 0.2500, 0.1955) and Pd at (0.0000, 0.2500, 0.8757).



[2]
Density functional theory data (PBE) for crystalline TbHo6Al2 at its relaxed geometry.

The value obtained for the mass density is 6.40 g/cm3. The energy of formation comes out at 523.6 meV/atom.

It has space group I-42m (No. 121), with a = 4.7541 Å, b = 4.7541 Å, c = 27.5902 Å, α = 90.00°, β = 90.00° and γ = 90.00°. The inequivalent atoms are Tb at (0.0000, 0.0000, 0.0000), Ho at (0.0000, 0.5000, 0.2500), Ho at (0.2476, 0.2476, 0.1036) and Al at (0.0000, 0.0000, 0.3143).



[3]
Density functional theory data (PBE) for crystalline K2SeBr5 at its relaxed geometry.

The value obtained for the mass density is 3.10 g/cm3. As for the total energy: -2.62 eV/atom.

It has space group I4mm (No. 107), with a = 7.8412 Å, b = 7.8412 Å, c = 9.7069 Å, α = 90.00°, β = 90.00° and γ = 90.00°. The inequivalent atoms are K at (0.0000, 0.5000, 0.0000), Se at (0.0000, 0.0000, 0.2526), Br at (0.0000, 0.0000, 0.9613) and Br at (0.2343, 0.2343, 0.2618).



[4]
Density functional theory data (PBE) for crystalline NpUI6 at its relaxed geometry.

The value obtained for the mass density is 4.91 g/cm3. As for the total energy: -5.02 eV/atom.

It has space group C2/m (No. 12), with a = 8.0974 Å, b = 13.8730 Å, c = 7.4426 Å, α = 90.00°, β = 91.75° and γ = 90.00°. The inequivalent atoms are Np at (0.0000, 0.0000, 0.0000), U at (0.0000, 0.0000, 0.5000), I at (0.1534, 0.1550, 0.7521) and I at (0.1932, 0.5000, 0.7370).



[5]
Density functional theory data (PBE) for crystalline BaLi2CdAg at its relaxed geometry.

The value obtained for the mass density is 4.24 g/cm3. The energy of formation comes out at -87.5 meV/atom.

It has space group P4/mmm (No. 123), with a = 5.1884 Å, b = 5.1884 Å, c = 5.4043 Å, α = 90.00°, β = 90.00° and γ = 90.00°. The inequivalent atoms are Ba at (0.0000, 0.0000, 0.0000), Li at (0.0000, 0.5000, 0.5000), Cd at (0.5000, 0.5000, 0.0000) and Ag at (0.5000, 0.5000, 0.5000).



[6]
Density functional theory data (PBE) for crystalline RbCoAs2Ir at its relaxed geometry.

The value obtained for the mass density is 7.54 g/cm3. The energy of formation comes out at 645.7 meV/atom.

It has space group P4/mmm (No. 123), with a = 4.6616 Å, b = 4.6616 Å, c = 4.9308 Å, α = 90.00°, β = 90.00° and γ = 90.00°. The inequivalent atoms are Rb at (0.0000, 0.0000, 0.0000), Co at (0.5000, 0.5000, 0.5000), As at (0.0000, 0.5000, 0.5000) and Ir at (0.5000, 0.5000, 0.0000).



[7]
Density functional theory data (PBE) for crystalline Ca12InCu5 at its relaxed geometry.

The value obtained for the mass density is 2.86 g/cm3. The energy of formation comes out at -132.6 meV/atom.

It has space group Immm (No. 71), with a = 9.7967 Å, b = 9.9799 Å, c = 10.8364 Å, α = 90.00°, β = 90.00° and γ = 90.00°. The inequivalent atoms are Ca at (0.0000, 0.1919, 0.2333), Ca at (0.1985, 0.5000, 0.1735), Ca at (0.2166, 0.3166, 0.5000), In at (0.0000, 0.0000, 0.5000), Cu at (0.0000, 0.0000, 0.0000), Cu at (0.0000, 0.3676, 0.0000) and Cu at (0.0000, 0.5000, 0.3851).



[8]
Density functional theory data (PBE) for crystalline AsN at its relaxed geometry.

The value obtained for the mass density is 1.93 g/cm3. As for the total energy: -5.72 eV/atom.

It has space group I-43m (No. 217), with a = 8.4854 Å, b = 8.4854 Å, c = 8.4854 Å, α = 90.00°, β = 90.00° and γ = 90.00°. The inequivalent atoms are As at (0.1166, 0.1166, 0.8834) and N at (0.1148, 0.1148, 0.1148).



[9]
Density functional theory data (PBE) for crystalline Sr6TlPt2 at its relaxed geometry.

The value obtained for the mass density is 5.87 g/cm3. The energy of formation comes out at -532.1 meV/atom.

It has space group Immm (No. 71), with a = 10.2201 Å, b = 10.6978 Å, c = 11.5974 Å, α = 90.00°, β = 90.00° and γ = 90.00°. The inequivalent atoms are Sr at (0.0000, 0.1956, 0.2398), Sr at (0.1805, 0.5000, 0.1614), Sr at (0.2110, 0.3244, 0.5000), Tl at (0.0000, 0.0000, 0.0000), Tl at (0.0000, 0.0000, 0.5000), Pt at (0.0000, 0.3226, 0.0000) and Pt at (0.0000, 0.5000, 0.3748).



[10]
Density functional theory data (PBE) for crystalline PPtSe at its relaxed geometry.

The value obtained for the mass density is 9.09 g/cm3. As for the total energy: -5.24 eV/atom.

It has space group P3m1 (No. 156), with a = 3.6921 Å, b = 3.6921 Å, c = 4.7218 Å, α = 90.00°, β = 90.00° and γ = 120.00°. The inequivalent atoms are P at (0.0000, 0.0000, 0.0000), Pt at (0.3333, 0.6667, 0.2302) and Se at (0.6667, 0.3333, 0.5390).



[11]
Density functional theory data (PBE) for crystalline Co2AgPb at its relaxed geometry.

The value obtained for the mass density is 11.19 g/cm3. The energy of formation comes out at 548.7 meV/atom.

It has space group I-4m2 (No. 119), with a = 3.9704 Å, b = 3.9704 Å, c = 8.1491 Å, α = 90.00°, β = 90.00° and γ = 90.00°. The inequivalent atoms are Co at (0.0000, 0.0000, 0.0000), Co at (0.0000, 0.5000, 0.2500), Ag at (0.0000, 0.0000, 0.5000) and Pb at (0.0000, 0.5000, 0.7500).



[12]
Density functional theory data (PBE) for crystalline PaTlCuPt at its relaxed geometry.

The value obtained for the mass density is 14.36 g/cm3. The energy of formation comes out at -290.9 meV/atom.

It has space group F-43m (No. 216), with a = 6.8471 Å, b = 6.8471 Å, c = 6.8471 Å, α = 90.00°, β = 90.00° and γ = 90.00°. The inequivalent atoms are Pa at (0.0000, 0.0000, 0.0000), Tl at (0.0000, 0.0000, 0.5000), Cu at (0.2500, 0.2500, 0.7500) and Pt at (0.2500, 0.2500, 0.2500).



| no. | volume (Å³/cell) | M_tot (μB per formula unit) |
| --- | --- | --- |
| 1 | 585 | 0.75 |
| 2 | 624 | 0.00 |
| 3 | 597 | 1.01 |
| 4 | 836 | 7.00 |
| 5 | 145 | 0.00 |
| 6 | 107 | 1.72 |
| 7 | 1059 | 0.00 |
| 8 | 611 | 0.00 |
| 9 | 1268 | 0.00 |
| 10 | 56 | 0.00 |
| 11 | 128 | 2.93 |
| 12 | 321 | 0.00 |